1.
Material: ZrTcRu2
Method: DFT, GGA-PBE
State: relaxed

* total magnetization: 0.000 Bohr magnetons per cell
* volume: 63.7 Å³/f.u.
* E_form: -1.21 kJ per mole of atoms

a = 4.987 Å, b = 4.987 Å, c = 4.987 Å
α = 133.74°, β = 133.74°, γ = 67.49°
Atoms (fractional coordinates):
Zr 0.750 0.250 0.500
Ru 0.250 0.750 0.500
Ru 0.000 0.000 0.000
Tc 0.500 0.500 0.000

***

2.
Material: Ho3ThSb4
Method: DFT, GGA-PBE
State: relaxed

* total magnetization: 0.000 Bohr magnetons per cell
* energy relative to the elements, uncorrected: -1.07 eV/atom
* volume: 241.8 Å³/f.u.

a = 4.414 Å, b = 7.624 Å, c = 7.624 Å
α = 109.48°, β = 90.00°, γ = 90.00°
Atoms (fractional coordinates):
Sb 0.000 0.743 0.743
Sb 0.500 0.747 0.253
Sb 0.000 0.257 0.257
Sb 0.500 0.253 0.747
Th 0.500 0.000 0.000
Ho 0.500 0.500 0.500
Ho 0.000 0.000 0.500
Ho 0.000 0.500 0.000

***

3.
Material: RbCa3In
Method: DFT, GGA-PBE
State: relaxed

* total magnetization: 0.000 Bohr magnetons per cell
* volume: 241.2 Å³/f.u.
* E_form: -1.38 kJ per mole of atoms

a = 6.225 Å, b = 6.225 Å, c = 6.225 Å
α = 90.00°, β = 90.00°, γ = 90.00°
Atoms (fractional coordinates):
Ca 0.000 0.500 0.000
Ca 0.500 0.000 0.000
Ca 0.000 0.000 0.500
Rb 0.500 0.500 0.500
In 0.000 0.000 0.000

***

Which formula does entry 1 have? ZrTcRu2

***

Please write out number 3 again, unchanged.
Material: RbCa3In
Method: DFT, GGA-PBE
State: relaxed

* total magnetization: 0.000 Bohr magnetons per cell
* volume: 241.2 Å³/f.u.
* E_form: -1.38 kJ per mole of atoms

a = 6.225 Å, b = 6.225 Å, c = 6.225 Å
α = 90.00°, β = 90.00°, γ = 90.00°
Atoms (fractional coordinates):
Ca 0.000 0.500 0.000
Ca 0.500 0.000 0.000
Ca 0.000 0.000 0.500
Rb 0.500 0.500 0.500
In 0.000 0.000 0.000